MnCu2AuI | PBEsol | relaxed

Lattice parameters (Å, degrees): 4.7589 4.7589 4.9556 90.00 90.00 90.00
Last column: nearest neighbours and their distance in Å.
Element x y z (fractional)
Mn 0.0000 0.0000 0.0000  2 Au 2.48
Cu 0.0000 0.5000 0.5000  2 Au 2.38
Cu 0.5000 0.0000 0.5000  2 Au 2.38
Au 0.0000 0.0000 0.5000  4 Cu 2.38, 2 Mn 2.48
I 0.5000 0.5000 0.0000  4 Mn 3.37, 8 Cu 3.44

Computed properties:
Its uncorrected formation energy is 795 meV per atom.